DFT (PBE) results for an optimized crystal structure of LiTaCr3.

Cell: 4.809 4.809 4.809 Å, 90.00 90.00 90.00°
Space group Pm-3m (No. 221)
Unique sites:
1 Li 0.000 0.000 0.000 [1 per cell]
2 Ta 0.500 0.500 0.500 [1 per cell]
3 Cr 0.000 0.500 0.500 [3 per cell]

## Properties
DFT formation energy	1.48	eV/atom
E above lowest polymorph	0.272	eV per atom
magnetic moment	1.909	μB per atom